Entry 1:
This record from Alexandria describes a relaxed structure of Na2ZnS2. The functional is PBE.

The structure belongs to space group C2/m (No. 12); the cell edges are 13.941, 5.216 and 9.551 Å and the angles 90.00°, 127.81° and 90.00°. The distinct sites, in fractional coordinates, are Na at (0.059, 0.000, 0.249), Na at (0.174, 0.500, 0.017), Zn at (0.127, 0.500, 0.646), S at (0.039, 0.500, 0.350) and S at (0.182, 0.000, 0.108).

The calculation puts the density of states at the Fermi level at 0.0 states/eV/f.u. For the total magnetic moment, the calculation gives 0.00 μB/atom. The value obtained for the total energy is -3.3706 eV/atom.

***

Entry 2:
This record from Alexandria describes a relaxed structure of LiTl2Ag. The functional is PBE.

The structure belongs to space group C2/m (No. 12); the cell edges are 6.446, 9.454 and 3.286 Å and the angles 90.00°, 111.68° and 90.00°. The distinct sites, in fractional coordinates, are Li at (0.000, 0.000, 0.000), Tl at (0.250, 0.250, 0.500) and Ag at (0.000, 0.500, 0.000).

The energy of formation is 0.02 eV per formula unit. The calculation puts the density of states at the Fermi level at 1.4 states/eV/f.u. For the total magnetic moment, the calculation gives 0.00 μB/atom.

***

Entry 3:
This record from Alexandria describes a relaxed structure of NbFe2P. The functional is PBE.

The structure belongs to space group I-42d (No. 122); the cell edges are 6.697, 6.697 and 5.011 Å and the angles 90.00°, 90.00° and 90.00°. The distinct sites, in fractional coordinates, are Nb at (0.000, 0.000, 0.000), Fe at (0.183, 0.250, 0.625) and P at (0.000, 0.000, 0.500).

The energy of formation is 0.20 eV per formula unit. The calculation puts the density of states at the Fermi level at 5.8 states/eV/f.u. For the total magnetic moment, the calculation gives 0.78 μB/atom.

***

Entry 4:
This record from Alexandria describes a relaxed structure of PmTm5Al4. The functional is PBE.

The structure belongs to space group P4/mmm (No. 123); the cell edges are 3.546, 3.546 and 19.452 Å and the angles 90.00°, 90.00° and 90.00°. The distinct sites, in fractional coordinates, are Pm at (0.000, 0.000, 0.000), Tm at (0.500, 0.500, 0.132), Tm at (0.500, 0.500, 0.317), Tm at (0.500, 0.500, 0.500), Al at (0.000, 0.000, 0.225) and Al at (0.000, 0.000, 0.409).

The energy of formation is -3.11 eV per formula unit. The calculation puts the density of states at the Fermi level at 7.7 states/eV/f.u. For the total magnetic moment, the calculation gives 0.00 μB/atom.

***

Entry 5:
This record from Alexandria describes a relaxed structure of Li5SnBi6. The functional is PBE.

The structure belongs to space group P-1 (No. 2); the cell edges are 4.775, 7.636 and 8.868 Å and the angles 90.05°, 90.02° and 108.13°. The distinct sites, in fractional coordinates, are Li at (0.000, 0.000, 0.000), Li at (0.331, 0.663, 0.000), Li at (0.333, 0.665, 0.500), Sn at (0.000, 0.000, 0.500), Bi at (0.169, 0.339, 0.761), Bi at (0.169, 0.340, 0.240) and Bi at (0.500, 0.000, 0.232).

The energy of formation is -3.41 eV per formula unit. The calculation puts the density of states at the Fermi level at 4.0 states/eV/f.u. For the total magnetic moment, the calculation gives 0.00 μB/atom.

***

Entry 6:
This record from Alexandria describes a relaxed structure of Nd2Pa3Te8. The functional is PBE.

The structure belongs to space group C2/m (No. 12); the cell edges are 15.960, 8.605 and 7.309 Å and the angles 90.00°, 105.78° and 90.00°. The distinct sites, in fractional coordinates, are Nd at (0.249, 0.000, 0.324), Pa at (0.000, 0.000, 0.500), Pa at (0.000, 0.234, 0.000), Te at (0.107, 0.500, 0.900), Te at (0.121, 0.254, 0.410) and Te at (0.131, 0.000, 0.901).

The calculation puts the density of states at the Fermi level at 13.2 states/eV/f.u. For the total magnetic moment, the calculation gives 0.38 μB/atom. The value obtained for the total energy is -5.8123 eV/atom.